VASP calculation (PBE) on a relaxed Li5Pr3Br12 crystal.

Output
The spin magnetization comes out at 0.0182 μB/atom. The calculation puts the volume at 2196.30 Å³ per cell. The space-group type is Ia-3d (230). The total energy comes out at -3.781 eV per atom. For the density, the calculation gives 4.28 g cm⁻³.

Structure (extended XYZ):
```
80
Lattice="-8.189 8.189 8.189 8.189 -8.189 8.189 8.189 8.189 -8.189" Properties=species:S:1:pos:R:3 pbc="T T T"
Li 0.000 0.000 0.000
Li 4.094 4.094 -4.094
Li 4.094 -4.094 4.094
Li 8.189 0.000 0.000
Li 12.283 2.047 0.000
Li 8.189 -4.094 6.141
Li 6.141 8.189 -4.094
Li 6.141 0.000 4.094
Li 4.094 6.141 0.000
Li 8.189 4.094 2.047
Li -4.094 4.094 4.094
Li 0.000 8.189 0.000
Li 0.000 0.000 8.189
Li 4.094 4.094 4.094
Li 0.000 4.094 6.141
Li 4.094 2.047 8.189
Li 2.047 8.189 4.094
Li 2.047 0.000 12.283
Li 0.000 12.283 2.047
Li -4.094 6.141 8.189
Pr 4.094 2.047 0.000
Pr 8.189 4.094 -2.047
Pr 2.047 0.000 4.094
Pr 10.236 0.000 4.094
Pr 0.000 4.094 2.047
Pr 4.094 -2.047 8.189
Pr 4.094 10.236 0.000
Pr 8.189 4.094 6.141
Pr -2.047 8.189 4.094
Pr 6.141 8.189 4.094
Pr 0.000 4.094 10.236
Pr 4.094 6.141 8.189
Br 2.488 -0.480 1.008
Br 9.795 5.102 -4.574
Br 7.709 -1.008 2.488
Br 12.763 -1.607 3.087
Br 10.676 0.480 1.008
Br 9.795 -3.087 4.574
Br 1.008 2.488 -0.480
Br 11.275 3.615 -1.607
Br 5.102 4.574 -1.607
Br 7.181 2.488 0.480
Br -0.480 1.008 2.488
Br 4.574 -1.607 5.102
Br 7.709 7.181 -2.488
Br 4.574 1.607 3.087
Br 7.181 -2.488 7.709
Br 5.102 -4.574 9.795
Br 3.087 4.574 1.607
Br 9.196 5.701 0.480
Br 2.488 7.709 -1.008
Br 9.795 3.087 3.615
Br 4.574 9.795 -3.087
Br 7.709 1.008 5.701
Br 1.607 3.087 4.574
Br 2.488 0.480 7.181
Br 5.701 7.709 1.008
Br 6.582 5.102 3.615
Br 0.480 7.181 2.488
Br 3.615 -1.607 11.275
Br -1.607 5.102 4.574
Br 5.701 0.480 9.196
Br -1.008 2.488 7.709
Br 5.102 3.615 6.582
Br 3.087 12.763 -1.607
Br 1.008 10.676 0.480
Br 3.615 6.582 5.102
Br 0.480 1.008 10.676
Br 3.615 9.795 3.087
Br 8.668 7.181 5.701
Br 1.008 5.701 7.709
Br 3.087 3.615 9.795
Br -3.087 4.574 9.795
Br 7.181 5.701 8.668
Br -1.607 11.275 3.615
Br -2.488 7.709 7.181
Br -4.574 9.795 5.102
Br 0.480 9.196 5.701
Br -1.607 3.087 12.763
Br 5.701 8.668 7.181
```